## CsCr2CuO8 (PBE+U)

Data for CsCr2CuO8 after structural relaxation.

Cell and atoms, written as extended XYZ:
```
12
Lattice="2.569 1.483 8.697 -2.569 1.483 8.697 0.000 -2.966 8.697" Properties=species:S:1:pos:R:3 pbc="T T T"
Cs 0.000 0.000 0.000
Cr 0.000 0.000 6.017
Cr 0.000 0.000 20.075
Cu 0.000 0.000 13.046
O -1.599 -0.204 11.879
O -0.623 -1.487 14.214
O 0.000 0.000 7.655
O -0.977 1.283 14.214
O 0.977 -1.283 11.879
O 0.000 0.000 18.438
O 0.623 1.487 11.879
O 1.599 0.204 14.214
```

Mass density, g/cm3: 3.58
M_tot, μB/atom: 0.161
DFT total energy, eV for the cell shown: -72.983